(1)
30
Lattice="-6.122 -5.018 4.414 -3.919 -6.788 4.551 6.435 8.631 7.981" Properties=species:S:1:pos:R:3 comment="Na5B7C3 | Alexandria via LeMat-Bulk | PBE-GGA | optimized geometry" dos_ef_per_ev_atom=0.36 volume_a3_per_atom=10.39 sg="Cm, No. 8" formation_energy_mev_per_atom=122 pbc="T T T"
Na -2.109 -2.160 6.010
B -0.036 0.880 11.927
Na -4.144 -4.232 11.971
B 2.096 3.091 6.222
Na 3.771 5.389 8.948
Na -3.621 -3.197 16.920
Na 3.216 4.315 4.006
B 2.281 3.456 7.948
B -5.834 -6.533 9.423
C -0.376 0.213 8.787
C -5.667 -6.209 10.919
B -0.938 -0.870 3.846
Na -4.719 -5.336 6.963
B -3.032 -3.022 9.712
Na -1.533 -1.058 10.965
Na -7.400 -8.596 7.960
Na 0.604 1.139 4.999
C 4.901 6.619 6.663
C -3.205 -3.358 8.149
B -5.312 -5.524 14.051
B -0.554 -0.129 7.235
B 1.720 2.365 2.883
C -2.658 -2.286 13.201
C 2.621 4.122 11.085
B -6.287 -7.390 5.636
B -3.628 -4.157 4.646
B -8.524 -9.826 10.140
B -2.484 -1.946 14.789
Na 1.123 2.169 9.953
B -1.133 -1.237 2.237

(2)
12
Lattice="5.575 0.000 0.000 0.000 4.631 0.000 0.000 0.000 8.225" Properties=species:S:1:pos:R:3 comment="Ta2W | Alexandria via LeMat-Bulk | PBE-GGA | optimized geometry" dos_ef_per_ev_atom=0.72 volume_a3_per_atom=17.69 sg="Pnma, No. 62" formation_energy_mev_per_atom=51 pbc="T T T"
W 4.614 3.473 0.670
Ta 2.858 1.158 2.146
W 1.827 3.473 3.442
W 3.748 1.158 4.783
Ta 5.504 3.473 6.259
W 0.960 1.158 7.555
Ta 4.595 3.473 3.476
Ta 1.808 3.473 0.637
Ta 0.980 1.158 4.749
Ta 2.716 3.473 6.079
Ta 3.767 1.158 7.588
Ta 0.071 1.158 1.966

(3)
12
Lattice="-1.970 2.407 -1.873 4.899 -3.300 -5.872 -12.229 -5.069 6.345" Properties=species:S:1:pos:R:3 comment="Cs5Zn2O5 | Alexandria via LeMat-Bulk | PBE-GGA | optimized geometry" dos_ef_per_ev_atom=0.43 raw_formation_energy_kj_per_mol_atoms=-101.6 volume_a3_per_atom=26.67 sg="C2/m, No. 12" pbc="T T T"
O 0.000 0.000 0.000
Zn -0.730 -2.019 -5.345
O -4.931 -3.431 -2.743
Cs -9.128 -6.345 1.444
Cs -0.172 0.384 -2.844
O 0.519 -2.599 -3.884
O -9.818 -3.362 2.483
O -4.368 -2.530 1.342
Cs -5.544 -4.720 -0.236
Cs -3.755 -1.241 -1.165
Cs -7.099 -1.331 2.236
Zn -8.569 -3.942 3.944

(4)
8
Lattice="4.521 0.000 0.000 0.000 4.521 0.000 2.261 2.261 4.354" Properties=species:S:1:pos:R:3 comment="NiGeN2 | Alexandria via LeMat-Bulk | PBE-GGA | optimized geometry" dos_ef_per_ev_atom=0.51 raw_formation_energy_kj_per_mol_atoms=22.4 volume_a3_per_atom=11.12 sg="I-42d, No. 122" pbc="T T T"
Ni 2.261 4.521 2.177
Ge 4.521 2.261 2.177
N 5.651 5.743 3.266
N 1.038 3.391 1.089
N 3.391 3.299 3.266
Ge 0.000 0.000 0.000
N 3.483 1.130 1.089
Ni 2.261 2.261 0.000

(5)
4
Lattice="-0.391 0.011 3.160 -0.917 -3.085 -0.103 7.056 -3.839 0.886" Properties=species:S:1:pos:R:3 comment="In2MoW | Alexandria via LeMat-Bulk | PBE-GGA | optimized geometry" dos_ef_per_ev_atom=0.52 volume_a3_per_atom=20.29 sg="Pm, No. 6" formation_energy_mev_per_atom=297 pbc="T T T"
Mo 3.417 -3.356 0.434
In 6.542 -4.305 0.824
In 1.862 -1.261 1.839
W 4.053 -5.292 2.124

(6)
10
Lattice="6.773 0.000 0.000 0.000 6.773 0.000 0.000 0.000 2.614" Properties=species:S:1:pos:R:3 comment="Be2Cu2As | Alexandria via LeMat-Bulk | PBE-GGA | optimized geometry" dos_ef_per_ev_atom=0.39 volume_a3_per_atom=11.99 sg="P4/mbm, No. 127" formation_energy_mev_per_atom=195 pbc="T T T"
Cu 2.491 5.877 0.000
As 0.000 0.000 0.000
Be 2.289 1.097 1.307
As 3.386 3.386 0.000
Cu 5.877 4.282 0.000
Cu 4.282 0.895 0.000
Be 5.676 2.289 1.307
Cu 0.895 2.491 0.000
Be 4.483 5.676 1.307
Be 1.097 4.483 1.307

(7)
5
Lattice="-0.354 0.626 4.758 -0.794 -4.713 0.561 4.232 -0.665 0.402" Properties=species:S:1:pos:R:3 comment="LaP2AuO | Alexandria via LeMat-Bulk | PBE-GGA | optimized geometry" dos_ef_per_ev_atom=0.76 raw_formation_energy_kj_per_mol_atoms=-27.3 volume_a3_per_atom=19.92 sg="P4/mmm, No. 123" pbc="T T T"
P -0.397 -2.356 0.280
P -0.177 0.313 2.379
La 1.542 -2.376 2.860
Au 0.000 0.000 0.000
O 2.116 -0.332 0.201

(8)
3
Lattice="-1.503 -2.498 1.521 2.595 1.455 1.400 -3.043 3.225 2.290" Properties=species:S:1:pos:R:3 comment="ZrBeOs | Alexandria via LeMat-Bulk | PBE-GGA | optimized geometry" dos_ef_per_ev_atom=0.67 volume_a3_per_atom=15.57 sg="P3m1, No. 156" formation_energy_mev_per_atom=117 pbc="T T T"
Os 0.385 1.033 2.076
Be -0.124 0.132 0.094
Zr -2.211 1.018 3.041